Entry 1:
## Ac6NiPt2Au (PBE)

Data for an optimized crystal structure of Ac6NiPt2Au.

```
10
Lattice="-0.7842 -4.6164 6.1001 4.3923 -6.2777 0.6616 6.0494 0.1281 5.7192" Properties=species:S:1:pos:R:3 pbc="T T T"
Au 6.1672 -8.9087 8.5911
Ac 6.2305 -2.9300 5.2807
Ac 7.4736 -6.3368 7.2381
Ac 3.3332 -7.9184 7.4115
Ac 5.3386 -6.8974 3.5025
Ac 4.4978 -3.9980 8.8623
Ac 2.0921 -4.2234 5.1433
Ni 1.2866 -3.5661 2.3137
Pt 6.0184 0.1042 5.6979
Pt 4.7208 -5.4670 6.1625
```

energy of formation from the pure elements	-0.66	eV/atom
crystal system	trigonal

=====

Entry 2:
## AcPuNiAu (PBE)

Data for an optimized crystal structure of AcPuNiAu.

```
4
Lattice="-5.0090 -1.3874 -0.3623 -1.7310 -4.1999 2.5517 -3.1626 0.5639 4.1020" Properties=species:S:1:pos:R:3 pbc="T T T"
Ni -2.4757 -1.2558 1.5729
Pu 0.0000 0.0000 0.0000
Au -7.4270 -3.7675 4.7186
Ac -4.9513 -2.5117 3.1457
```

energy of formation from the pure elements	-0.22	eV/atom
crystal system	cubic

=====

Entry 3:
## Ac6NiRh2Au (PBE)

Data for an optimized crystal structure of Ac6NiRh2Au.

```
10
Lattice="7.6003 -0.0043 0.0012 3.7964 6.5829 0.0012 3.7994 2.1937 6.9743" Properties=species:S:1:pos:R:3 pbc="T T T"
Rh 7.5978 4.3860 3.3219
Rh 3.7979 2.1940 6.9372
Ac 8.6124 6.5021 5.2566
Ac 5.2590 4.2118 5.2555
Ac 6.3756 2.1633 1.6964
Ac 8.9185 2.4509 5.2573
Ac 6.2872 6.5560 1.6952
Ac 10.1353 4.4314 1.6978
Au 11.3997 6.5800 3.7323
Ni 3.7981 2.1933 0.1379
```

energy of formation from the pure elements	-0.50	eV/atom
crystal system	triclinic

=====

Entry 4:
## Ac6NiRu2Au (PBE)

Data for an optimized crystal structure of Ac6NiRu2Au.

```
10
Lattice="-2.0418 5.1216 -5.1190 -6.9375 2.9119 0.1494 -0.7755 7.7573 2.5399" Properties=species:S:1:pos:R:3 pbc="T T T"
Ru -0.7823 7.7404 2.5218
Ru -4.9202 7.7991 -1.2940
Au -7.8145 10.7048 -2.7624
Ac -3.5064 7.5817 1.3835
Ac -7.0310 5.8526 -0.5551
Ac -6.1385 8.2743 -3.9568
Ac -6.5207 9.9985 0.0497
Ac -2.9033 9.9971 -1.8576
Ac -3.1680 5.6533 -2.3622
Ni -2.9617 2.7516 -1.5952
```

energy of formation from the pure elements	-0.27	eV/atom
crystal system	trigonal

=====

Entry 5:
## AcNiSbAu (PBE)

Data for an optimized crystal structure of AcNiSbAu.

```
4
Lattice="5.0978 0.0000 0.0000 2.5489 4.4148 0.0000 2.5489 1.4716 4.1623" Properties=species:S:1:pos:R:3 pbc="T T T"
Ni 2.5489 1.4716 1.0406
Ac 0.0000 0.0000 0.0000
Sb 5.0978 2.9432 2.0812
Au 7.6467 4.4148 3.1218
```

crystal system	cubic
raw formation energy	-0.365	eV per atom

=====

Entry 6:
## Ac2Ni3Sb4Au (PBE)

Data for an optimized crystal structure of Ac2Ni3Sb4Au.

```
10
Lattice="-0.9062 -0.0062 -4.5918 4.2756 -1.7082 -0.8415 -3.6883 -9.5968 0.7409" Properties=species:S:1:pos:R:3 pbc="T T T"
Ni -3.7243 -8.5146 -1.6388
Ni -1.8441 -4.7984 0.3705
Ni 1.7206 -1.9395 -0.3369
Sb -2.8090 -6.1331 -1.8227
Sb 1.6847 -0.8572 -2.7166
Sb 0.0000 0.0000 0.0000
Sb 0.8054 -4.3210 -0.1531
Ac -0.6139 -8.0139 0.1321
Ac -1.3897 -2.4401 -2.1078
Au -0.1595 -5.6556 -2.3462
```

crystal system	tetragonal
raw formation energy	-0.643	eV per atom

=====

Entry 7:
## Ac2Ni3Sn4Au (PBE)

Data for an optimized crystal structure of Ac2Ni3Sn4Au.

```
10
Lattice="-0.2575 0.3658 4.6163 4.0356 -2.2498 0.4034 5.1543 9.1668 -0.4390" Properties=species:S:1:pos:R:3 pbc="T T T"
Sn 0.0000 0.0000 0.0000
Sn 1.8891 -0.9420 2.5099
Sn 3.1607 6.0331 2.0280
Sn 3.8826 2.1916 0.0429
Au 4.4662 3.6414 2.2904
Ni 4.4165 8.2665 1.9211
Ni 2.6269 -0.0417 0.1498
Ni 2.5771 4.5834 -0.2195
Ac 1.1840 2.5175 2.1964
Ac 5.8594 5.7072 -0.1255
```

energy of formation from the pure elements	-0.55	eV/atom
crystal system	tetragonal

=====

Entry 8:
## SrAcNiAu (PBE)

Data for an optimized crystal structure of SrAcNiAu.

```
4
Lattice="5.3466 0.0000 0.0000 2.6733 4.6303 0.0000 2.6733 1.5434 4.3655" Properties=species:S:1:pos:R:3 pbc="T T T"
Au 0.0000 0.0000 0.0000
Ac 8.0198 4.6303 3.2741
Ni 5.3466 3.0868 2.1827
Sr 2.6733 1.5434 1.0914
```

energy of formation from the pure elements	-0.35	eV/atom
crystal system	cubic

=====

Entry 9:
## AcTbNiAu (PBE)

Data for an optimized crystal structure of AcTbNiAu.

```
4
Lattice="5.2072 0.0000 0.0000 2.6036 4.5095 0.0000 2.6036 1.5032 4.2516" Properties=species:S:1:pos:R:3 pbc="T T T"
Tb 0.0000 0.0000 0.0000
Au 7.8108 4.5095 3.1887
Ni 2.6036 1.5032 1.0629
Ac 5.2072 3.0064 2.1258
```

energy of formation from the pure elements	-0.43	eV/atom
crystal system	cubic

=====

Entry 10:
## Ac2ZnNiAu (PBE)

Data for an optimized crystal structure of Ac2ZnNiAu.

```
10
Lattice="-2.1437 3.9228 -0.1346 -6.4946 -3.6460 -2.8233 0.2059 0.3856 7.9620" Properties=species:S:1:pos:R:3 pbc="T T T"
Au -4.6908 -1.2624 0.7650
Au -3.7417 1.9249 4.2392
Ni -2.1994 2.6291 0.1968
Ni -6.2331 -1.9666 4.8073
Ac -6.2780 0.3355 -1.6887
Ac -1.4527 0.5639 2.4208
Ac -2.1545 0.3269 6.6929
Ac -6.9798 0.0986 2.5833
Zn -4.1123 -0.8372 3.9444
Zn -4.3201 1.4997 1.0597
```

energy of formation from the pure elements	-0.49	eV/atom
crystal system	monoclinic

=====

Entry 11:
## AcNpAu2 (PBE)

Data for an optimized crystal structure of AcNpAu2.

```
4
Lattice="3.7538 0.0000 0.0000 1.8769 3.2509 0.0000 1.8769 1.0836 10.2586" Properties=species:S:1:pos:R:3 pbc="T T T"
Au 5.6307 3.2509 3.0802
Au 1.8769 1.0836 7.1784
Ac 0.0000 0.0000 0.0000
Np 3.7538 2.1673 5.1293
```

energy relative to the lowest polymorph listed for this composition	506	meV/atom
energy of formation from the pure elements	0.20	eV/atom
crystal system	trigonal

=====

Entry 12:
## AcNpAu2 (PBE)

Data for an optimized crystal structure of AcNpAu2.

```
4
Lattice="3.7295 0.0000 0.0000 0.0000 5.3658 0.0000 0.0000 0.0000 5.3658" Properties=species:S:1:pos:R:3 pbc="T T T"
Ac 1.8648 2.6829 2.6829
Au 0.0000 2.6829 0.0000
Au 0.0000 0.0000 2.6829
Np 1.8648 0.0000 0.0000
```

energy relative to the lowest polymorph listed for this composition	0	meV/atom
energy of formation from the pure elements	-0.30	eV/atom
crystal system	tetragonal

=====

Entry 13:
## AcNpAu2O8 (PBE)

Data for an optimized crystal structure of AcNpAu2O8.

```
12
Lattice="-5.7811 -1.9958 -1.6537 2.9598 -4.7465 2.9747 -0.4455 5.0276 3.8293" Properties=species:S:1:pos:R:3 pbc="T T T"
Au -3.8186 -0.1697 1.4181
Au -1.4107 -3.3712 0.6605
O -1.8168 3.0512 2.6589
O -4.8190 -1.6314 0.5919
O -3.4351 -4.1413 1.4404
O -1.0525 -0.4907 4.2816
O -2.2161 0.7547 0.7877
O -0.2293 -1.8487 1.9199
O -4.0034 -1.5403 2.7992
O -4.2360 1.7383 1.4935
Np 0.5518 -1.5451 3.7323
Ac 0.0000 0.0000 0.0000
```

crystal system	tetragonal
raw formation energy	-1.383	eV per atom

=====

Entry 14:
## Ac2NpAuS5 (PBE)

Data for an optimized crystal structure of Ac2NpAuS5.

```
18
Lattice="4.1173 0.0000 0.0000 -2.0586 8.6112 0.0000 0.0000 0.0000 12.3991" Properties=species:S:1:pos:R:3 pbc="T T T"
Au 2.0586 0.5231 11.9743
Au 0.0000 8.0881 5.7748
Np 0.0000 3.2435 0.0570
Np 2.0586 5.3677 6.2566
S 0.0000 6.0318 0.0323
S 2.0586 0.0354 9.5881
S 2.0586 7.9095 7.1192
S 0.0000 5.1260 8.1457
S 2.0586 3.4170 10.5226
S 2.0586 2.5794 6.2319
S 0.0000 5.1941 4.3231
S 0.0000 0.7017 0.9196
S 0.0000 8.5758 3.3885
S 2.0586 3.4852 1.9461
Ac 0.0000 2.0558 8.5164
Ac 2.0586 6.4854 10.0569
Ac 2.0586 6.5554 2.3168
Ac 0.0000 2.1258 3.8573
```

crystal system	orthorhombic
raw formation energy	-1.556	eV per atom

=====

Entry 15:
## Ac2NpSi3Au12 (PBE)

Data for an optimized crystal structure of Ac2NpSi3Au12.

```
18
Lattice="-0.8442 -2.4052 -7.9051 -3.7795 -7.3149 -1.0937 -7.7238 0.4199 -3.0259" Properties=species:S:1:pos:R:3 pbc="T T T"
Ac -7.4138 -5.5841 -7.2200
Ac -4.9337 -3.7161 -4.8048
Au -10.2122 -6.8915 -6.7412
Au -4.3247 -4.2236 -8.0795
Au -2.1354 -2.4087 -5.2835
Au -5.9276 -6.9046 -4.3600
Au -3.4632 -4.6296 -2.2024
Au -8.0815 -2.6809 -5.4151
Au -8.8844 -4.6705 -9.8223
Au -8.0228 -5.0766 -3.9452
Au -5.2473 -1.1308 -3.0764
Au -4.2661 -6.6193 -6.6097
Au -7.1002 -8.1694 -8.9483
Au -6.4199 -2.3955 -7.6647
Si -1.8898 -3.6574 -0.5469
Si -3.8619 0.2099 -1.5129
Si -0.4221 -1.2026 -3.9526
Np 0.0000 0.0000 0.0000
```

crystal system	trigonal
raw formation energy	-0.121	eV per atom

=====

Entry 16:
## Ac2NpTe5Au (PBE)

Data for an optimized crystal structure of Ac2NpTe5Au.

```
18
Lattice="-3.5316 -0.0132 -2.8366 -3.3914 -5.2484 7.8636 -4.5745 11.4094 5.6421" Properties=species:S:1:pos:R:3 pbc="T T T"
Te -6.4104 -2.1105 7.9909
Te -9.0880 1.6268 7.6902
Te -5.5701 4.1951 3.2985
Te -6.0721 4.5530 7.5386
Te -5.3171 8.8317 2.9618
Te -0.7253 0.3201 0.9015
Te -7.6624 7.5737 5.8876
Te -4.6781 -0.2692 2.2088
Te -4.7095 0.7546 5.8598
Te -3.6646 -3.6912 4.5797
Np -7.2933 2.5539 5.4515
Np -2.0066 -1.8873 2.5071
Au -6.5134 0.6925 8.1060
Au -6.8695 10.1576 4.8885
Ac -4.3396 6.6499 5.3718
Ac -6.5994 -1.8954 4.6083
Ac -2.6943 2.2618 3.3438
Ac -9.3666 5.2909 8.0201
```

crystal system	orthorhombic
raw formation energy	-1.086	eV per atom

=====

Entry 17:
## Ac4Au2O (PBE)

Data for an optimized crystal structure of Ac4Au2O.

```
14
Lattice="7.0010 0.0000 -2.1186 0.0000 7.8388 0.0000 0.0412 0.0000 8.4683" Properties=species:S:1:pos:R:3 pbc="T T T"
Au 4.9604 5.8791 -1.1095
Au 2.0818 1.9597 7.4592
Au 5.0711 5.8791 3.2122
Au 1.9712 1.9597 3.1375
Ac 3.6135 0.0711 5.2777
Ac 0.5046 5.8791 7.4866
Ac 6.5377 1.9597 -1.1369
Ac 3.6135 3.8483 5.2777
Ac 6.6745 1.9597 3.2660
Ac 3.4288 3.9905 1.0720
Ac 3.4288 7.7677 1.0720
Ac 0.3678 5.8791 3.0837
O 1.7733 5.8791 1.0767
O 5.2689 1.9597 5.2730
```

energy relative to the lowest polymorph listed for this composition	0	meV/atom
crystal system	monoclinic
raw formation energy	-1.232	eV per atom

=====

Entry 18:
## Ac3AuO7 (PBE)

Data for an optimized crystal structure of Ac3AuO7.

```
22
Lattice="-4.9014 4.3172 2.5211 -2.9744 -4.7781 -4.1643 -1.0406 -4.8961 6.3611" Properties=species:S:1:pos:R:3 pbc="T T T"
Ac -1.6742 -3.4822 -0.3796
Ac -7.2422 -1.8744 5.0970
Ac -5.8113 -3.7247 -1.2422
Ac -3.1053 -1.6327 5.9606
Ac -4.4554 -2.6783 2.3595
Ac -3.9408 -0.2306 -0.8222
O -2.2273 -1.3275 3.5262
O -4.4624 -5.1111 3.0609
O -4.9683 -2.7228 4.8163
O -6.6931 -4.0312 1.1908
O -4.4541 -0.2459 1.6570
O -3.9481 -2.6341 -0.0984
O -7.1615 -6.2517 4.0788
O -1.8112 -3.7441 2.2094
O -1.7513 0.8954 0.6414
O -7.1094 -1.6117 2.5077
O -5.0393 2.5162 3.6872
O -3.8771 -7.8731 1.0306
O -2.2792 -5.9665 5.0959
O -6.6330 0.6093 -0.3786
Au -0.5214 -2.4481 3.1803
Au -7.8747 -0.4608 -1.6429
```

crystal system	orthorhombic
raw formation energy	-2.289	eV per atom

=====

Entry 19:
## AcAuO2 (PBE)

Data for an optimized crystal structure of AcAuO2.

```
8
Lattice="4.0659 0.0000 0.0000 -2.0330 3.5212 0.0000 0.0000 0.0000 12.0424" Properties=species:S:1:pos:R:3 pbc="T T T"
O 0.0000 2.3475 0.9801
O 2.0330 1.1737 11.0623
O 0.0000 2.3475 5.0411
O 2.0330 1.1737 7.0012
Au 0.0000 2.3475 3.0106
Au 2.0330 1.1737 9.0318
Ac 0.0000 0.0000 0.0000
Ac 0.0000 0.0000 6.0212
```

crystal system	hexagonal
raw formation energy	-2.163	eV per atom

=====

Entry 20:
## Ac3Au2O (PBE)

Data for an optimized crystal structure of Ac3Au2O.

```
12
Lattice="-6.3622 3.4350 -2.5779 -4.2521 -6.4502 1.8995 3.2397 2.0952 6.2248" Properties=species:S:1:pos:R:3 pbc="T T T"
Au -2.5577 0.8936 3.4522
Au -2.4286 -3.5490 5.3157
Au -4.9461 2.6291 0.2307
Au -4.8170 -1.8136 2.0942
Ac -3.6662 -0.2071 -0.5799
Ac -2.9399 4.0256 2.4146
Ac -5.7470 1.1682 3.0884
Ac -4.4348 -4.9456 3.1318
Ac -6.9482 -2.8081 -0.0985
Ac -1.6277 -2.0882 2.4581
O -8.9532 -1.7256 -0.9109
O -1.6612 -1.2896 0.2325
```

energy relative to the lowest polymorph listed for this composition	54	meV/atom
crystal system	monoclinic
raw formation energy	-1.380	eV per atom